Run a
DFT (GGA-PBE) results for a geometry-optimized KPuF3 structure.

Properties
space-group type = No. 11
total magnetic moment = 2.2 Bohr magnetons per cell
density = 6.67 Mg/m³

POSCAR file:
```
KPuF3
1.0
3.352 0.000 0.000
0.000 7.254 -0.596
0.000 -2.193 7.147
F K Pu
6 2 2
Cartesian
0.838 5.013 4.909
2.514 0.048 1.641
2.514 0.404 6.029
0.838 1.321 3.993
0.838 4.657 0.522
2.514 3.740 2.558
2.514 3.145 5.744
0.838 1.916 0.807
2.514 -0.367 3.974
0.838 5.428 2.576
```

---

Run b
DFT (GGA-PBE) results for a geometry-optimized KPuF3 structure.

Properties
space-group type = No. 221
total magnetic moment = 5.7 Bohr magnetons per cell
density = 5.12 Mg/m³

POSCAR file:
```
KPuF3
1.0
4.797 0.000 0.000
0.000 4.797 0.000
0.000 0.000 4.797
F K Pu
3 1 1
Cartesian
0.000 0.000 2.398
0.000 2.398 0.000
2.398 0.000 0.000
2.398 2.398 2.398
0.000 0.000 0.000
```

---

What is the stability order? It is run b, run a, from most stable to least stable.